This record from Alexandria via LeMat-Bulk describes a crystal of Mn2AgSe relaxed with PBEsol. The functional is SCAN.

Uncorrected energy: -22.023 eV/atom
Symmetry: I4/mmm (139)

The structure in extended XYZ format:
```
4
Lattice="-3.182 1.930 1.647 -1.409 -3.542 1.427 4.267 1.316 1.674" Properties=species:S:1:pos:R:3 pbc="T T T"
Mn -0.606 1.220 2.429
Mn 0.281 -1.516 2.319
Ag 0.000 0.000 0.000
Se -2.296 -0.806 1.537
```